[1]
# AcHo2ErSe6, optimized geometry, DFT GGA-PBE
# **Volume**: 30.4 Å³ per atom
# **E_form (uncorrected)**: -1.873 eV per atom
# **Space-group type**: R3
data_AcHo2ErSe6
_chemical_formula_sum 'Ac1 Ho2 Er1 Se6'
_space_group_name_H-M_alt 'P 1'
_space_group_IT_number 1
_space_group_name_Hall 'P 1'
_cell_length_a 7.753
_cell_length_b 7.753
_cell_length_c 7.753
_cell_angle_alpha 56.59
_cell_angle_beta 56.59
_cell_angle_gamma 56.59
loop_
_atom_site_label
_atom_site_type_symbol
_atom_site_fract_x
_atom_site_fract_y
_atom_site_fract_z
_atom_site_occupancy
Ac1 Ac 0.000 0.000 0.000 1
Ho1 Ho 0.287 0.287 0.287 1
Ho2 Ho 0.794 0.794 0.794 1
Er1 Er 0.485 0.485 0.485 1
Se1 Se 0.075 0.651 0.433 1
Se2 Se 0.194 0.572 0.889 1
Se3 Se 0.433 0.075 0.651 1
Se4 Se 0.572 0.889 0.194 1
Se5 Se 0.651 0.433 0.075 1
Se6 Se 0.889 0.194 0.572 1

[2]
# LiBeFe, optimized geometry, DFT GGA-PBE
# **Volume**: 9.9 Å³ per atom
# **Space-group type**: P3m1
data_LiBeFe
_chemical_formula_sum 'Li1 Be1 Fe1'
_space_group_name_H-M_alt 'P 1'
_space_group_IT_number 1
_space_group_name_Hall 'P 1'
_cell_length_a 3.924
_cell_length_b 3.924
_cell_length_c 2.226
_cell_angle_alpha 90.00
_cell_angle_beta 90.00
_cell_angle_gamma 120.00
loop_
_atom_site_label
_atom_site_type_symbol
_atom_site_fract_x
_atom_site_fract_y
_atom_site_fract_z
_atom_site_occupancy
Li1 Li 0.000 0.000 0.000 1
Be1 Be 0.667 0.333 0.273 1
Fe1 Fe 0.333 0.667 0.650 1

[3]
# Li3Cd3InAg2, optimized geometry, DFT GGA-PBE
# **Volume**: 19.1 Å³ per atom
# **Space-group type**: P-62m
data_Li3Cd3InAg2
_chemical_formula_sum 'Li3 Cd3 In1 Ag2'
_space_group_name_H-M_alt 'P 1'
_space_group_IT_number 1
_space_group_name_Hall 'P 1'
_cell_length_a 8.056
_cell_length_b 8.056
_cell_length_c 3.053
_cell_angle_alpha 90.00
_cell_angle_beta 90.00
_cell_angle_gamma 120.00
loop_
_atom_site_label
_atom_site_type_symbol
_atom_site_fract_x
_atom_site_fract_y
_atom_site_fract_z
_atom_site_occupancy
Li1 Li 0.000 0.691 0.000 1
Li2 Li 0.309 0.309 0.000 1
Li3 Li 0.691 0.000 0.000 1
Cd1 Cd 0.000 0.368 0.500 1
Cd2 Cd 0.368 0.000 0.500 1
Cd3 Cd 0.632 0.632 0.500 1
In1 In 0.000 0.000 0.500 1
Ag1 Ag 0.333 0.667 0.000 1
Ag2 Ag 0.667 0.333 0.000 1

[4]
# Sm4Zn2Cd5, optimized geometry, DFT GGA-PBE
# **Volume**: 25.5 Å³ per atom
# **Space-group type**: P2/m
data_Sm4Zn2Cd5
_chemical_formula_sum 'Sm4 Zn2 Cd5'
_space_group_name_H-M_alt 'P 1'
_space_group_IT_number 1
_space_group_name_Hall 'P 1'
_cell_length_a 7.721
_cell_length_b 3.690
_cell_length_c 9.890
_cell_angle_alpha 90.00
_cell_angle_beta 94.26
_cell_angle_gamma 90.00
loop_
_atom_site_label
_atom_site_type_symbol
_atom_site_fract_x
_atom_site_fract_y
_atom_site_fract_z
_atom_site_occupancy
Sm1 Sm 0.169 0.000 0.369 1
Sm2 Sm 0.255 0.000 0.941 1
Sm3 Sm 0.745 0.000 0.059 1
Sm4 Sm 0.831 0.000 0.631 1
Zn1 Zn 0.059 0.500 0.130 1
Zn2 Zn 0.941 0.500 0.870 1
Cd1 Cd 0.187 0.500 0.658 1
Cd2 Cd 0.439 0.500 0.195 1
Cd3 Cd 0.500 0.500 0.500 1
Cd4 Cd 0.561 0.500 0.805 1
Cd5 Cd 0.813 0.500 0.342 1

[5]
# ZrU2TcC4, optimized geometry, DFT GGA-PBE
# **Volume**: 13.9 Å³ per atom
# **Space-group type**: Cmcm
data_ZrU2TcC4
_chemical_formula_sum 'Zr2 U4 Tc2 C8'
_space_group_name_H-M_alt 'P 1'
_space_group_IT_number 1
_space_group_name_Hall 'P 1'
_cell_length_a 5.989
_cell_length_b 5.989
_cell_length_c 11.476
_cell_angle_alpha 90.00
_cell_angle_beta 90.00
_cell_angle_gamma 147.31
loop_
_atom_site_label
_atom_site_type_symbol
_atom_site_fract_x
_atom_site_fract_y
_atom_site_fract_z
_atom_site_occupancy
Zr1 Zr 0.121 0.879 0.750 1
Zr2 Zr 0.879 0.121 0.250 1
U1 U 0.368 0.632 0.549 1
U2 U 0.368 0.632 0.951 1
U3 U 0.632 0.368 0.049 1
U4 U 0.632 0.368 0.451 1
Tc1 Tc 0.139 0.861 0.250 1
Tc2 Tc 0.861 0.139 0.750 1
C1 C 0.000 0.000 0.000 1
C2 C 0.000 0.000 0.500 1
C3 C 0.273 0.727 0.128 1
C4 C 0.273 0.727 0.372 1
C5 C 0.470 0.530 0.750 1
C6 C 0.530 0.470 0.250 1
C7 C 0.727 0.273 0.628 1
C8 C 0.727 0.273 0.872 1

[6]
# Li3Mg4Hg, optimized geometry, DFT GGA-PBE
# **Volume**: 19.8 Å³ per atom
# **Space-group type**: R-3m
data_Li3Mg4Hg
_chemical_formula_sum 'Li3 Mg4 Hg1'
_space_group_name_H-M_alt 'P 1'
_space_group_IT_number 1
_space_group_name_Hall 'P 1'
_cell_length_a 8.408
_cell_length_b 8.408
_cell_length_c 8.408
_cell_angle_alpha 33.15
_cell_angle_beta 33.15
_cell_angle_gamma 33.15
loop_
_atom_site_label
_atom_site_type_symbol
_atom_site_fract_x
_atom_site_fract_y
_atom_site_fract_z
_atom_site_occupancy
Li1 Li 0.000 0.000 0.000 1
Li2 Li 0.250 0.250 0.250 1
Li3 Li 0.750 0.750 0.750 1
Mg1 Mg 0.125 0.125 0.125 1
Mg2 Mg 0.374 0.374 0.374 1
Mg3 Mg 0.626 0.626 0.626 1
Mg4 Mg 0.875 0.875 0.875 1
Hg1 Hg 0.500 0.500 0.500 1

[7]
# TmPa2VN5, optimized geometry, DFT GGA-PBE
# **Volume**: 12.8 Å³ per atom
# **E_form (uncorrected)**: -1.412 eV per atom
# **Space-group type**: Cmc2_1
data_TmPa2VN5
_chemical_formula_sum 'Tm2 Pa4 V2 N10'
_space_group_name_H-M_alt 'P 1'
_space_group_IT_number 1
_space_group_name_Hall 'P 1'
_cell_length_a 6.967
_cell_length_b 6.967
_cell_length_c 10.166
_cell_angle_alpha 90.00
_cell_angle_beta 90.00
_cell_angle_gamma 152.25
loop_
_atom_site_label
_atom_site_type_symbol
_atom_site_fract_x
_atom_site_fract_y
_atom_site_fract_z
_atom_site_occupancy
Tm1 Tm 0.206 0.794 0.500 1
Tm2 Tm 0.794 0.206 0.000 1
Pa1 Pa 0.111 0.889 0.185 1
Pa2 Pa 0.142 0.858 0.796 1
Pa3 Pa 0.858 0.142 0.296 1
Pa4 Pa 0.889 0.111 0.685 1
V1 V 0.483 0.517 0.964 1
V2 V 0.517 0.483 0.464 1
N1 N 0.040 0.960 0.551 1
N2 N 0.283 0.717 0.166 1
N3 N 0.328 0.672 0.850 1
N4 N 0.372 0.628 0.502 1
N5 N 0.482 0.518 0.280 1
N6 N 0.518 0.482 0.780 1
N7 N 0.628 0.372 0.002 1
N8 N 0.672 0.328 0.350 1
N9 N 0.717 0.283 0.666 1
N10 N 0.960 0.040 0.051 1

[8]
# Y3Si5, optimized geometry, DFT GGA-PBE
# **Volume**: 21.0 Å³ per atom
# **E_form (uncorrected)**: -0.398 eV per atom
# **Space-group type**: P6_3/mcm
data_Y3Si5
_chemical_formula_sum 'Y6 Si10'
_space_group_name_H-M_alt 'P 1'
_space_group_IT_number 1
_space_group_name_Hall 'P 1'
_cell_length_a 8.767
_cell_length_b 8.767
_cell_length_c 5.039
_cell_angle_alpha 90.00
_cell_angle_beta 90.00
_cell_angle_gamma 120.00
loop_
_atom_site_label
_atom_site_type_symbol
_atom_site_fract_x
_atom_site_fract_y
_atom_site_fract_z
_atom_site_occupancy
Y1 Y 0.000 0.368 0.250 1
Y2 Y 0.000 0.632 0.750 1
Y3 Y 0.368 0.000 0.250 1
Y4 Y 0.368 0.368 0.750 1
Y5 Y 0.632 0.000 0.750 1
Y6 Y 0.632 0.632 0.250 1
Si1 Si 0.000 0.165 0.750 1
Si2 Si 0.000 0.835 0.250 1
Si3 Si 0.165 0.000 0.750 1
Si4 Si 0.165 0.165 0.250 1
Si5 Si 0.333 0.667 0.000 1
Si6 Si 0.333 0.667 0.500 1
Si7 Si 0.667 0.333 0.000 1
Si8 Si 0.667 0.333 0.500 1
Si9 Si 0.835 0.000 0.250 1
Si10 Si 0.835 0.835 0.750 1

[9]
# YGaSe2N, optimized geometry, DFT GGA-PBE
# **Volume**: 28.2 Å³ per atom
# **E_form (uncorrected)**: 0.035 eV per atom
# **Space-group type**: P4/mmm
data_YGaSe2N
_chemical_formula_sum 'Y1 Ga1 Se2 N1'
_space_group_name_H-M_alt 'P 1'
_space_group_IT_number 1
_space_group_name_Hall 'P 1'
_cell_length_a 5.568
_cell_length_b 5.568
_cell_length_c 4.555
_cell_angle_alpha 90.00
_cell_angle_beta 90.00
_cell_angle_gamma 90.00
loop_
_atom_site_label
_atom_site_type_symbol
_atom_site_fract_x
_atom_site_fract_y
_atom_site_fract_z
_atom_site_occupancy
Y1 Y 0.000 0.000 0.000 1
Ga1 Ga 0.500 0.500 0.500 1
Se1 Se 0.000 0.500 0.000 1
Se2 Se 0.500 0.000 0.000 1
N1 N 0.000 0.000 0.500 1

[10]
# Tb2ScNi, optimized geometry, DFT GGA-PBE
# **Volume**: 26.5 Å³ per atom
# **Space-group type**: R-3m
data_Tb2ScNi
_chemical_formula_sum 'Tb2 Sc1 Ni1'
_space_group_name_H-M_alt 'P 1'
_space_group_IT_number 1
_space_group_name_Hall 'P 1'
_cell_length_a 10.274
_cell_length_b 10.274
_cell_length_c 10.274
_cell_angle_alpha 19.54
_cell_angle_beta 19.54
_cell_angle_gamma 19.54
loop_
_atom_site_label
_atom_site_type_symbol
_atom_site_fract_x
_atom_site_fract_y
_atom_site_fract_z
_atom_site_occupancy
Tb1 Tb 0.107 0.107 0.107 1
Tb2 Tb 0.893 0.893 0.893 1
Sc1 Sc 0.000 0.000 0.000 1
Ni1 Ni 0.500 0.500 0.500 1

Going through the records in order, we get total magnetization values of 0.00; 0.56; 0.00; 0.45; 0.00; 0.00; 0.00; 0.00; 2.68; 0.03 μB per formula unit.
Going through the records in order, we get total DFT energy (no corrections) values of -5.746; -4.428; -2.085; -2.638; -9.844; -1.706; -9.657; -6.212; -4.922; -5.193 eV per atom.